P | The following is a DFT calculation (PBE) of a relaxed Pm2Co2Ge3 crystal.

Cell: 4.212 6.852 9.226 Å, 90.00 103.20 90.00°
Element x y z (fractional)
Pm (0.053, 0.750, 0.106)
Ge (0.222, 0.750, 0.444)
Ge (0.433, 0.561, 0.866)
Pm (0.161, 0.250, 0.321)
Co (0.304, 0.440, 0.608)
Ge (0.567, 0.439, 0.134)
Co (0.696, 0.940, 0.392)
Pm (0.839, 0.750, 0.679)
Co (0.304, 0.060, 0.608)
Co (0.696, 0.560, 0.392)
Pm (0.947, 0.250, 0.894)
Ge (0.433, 0.939, 0.866)
Ge (0.567, 0.061, 0.134)
Ge (0.778, 0.250, 0.556)

Computed properties:
V: 259.25 Å³/cell
D(E_F): 0.855 states/eV per atom

=====

Q | The following is a DFT calculation (PBE) of a relaxed Pm2Co2Ge3 crystal.

Cell: 3.978 5.606 6.969 Å, 116.32 90.00 110.78°
Element x y z (fractional)
Ge (0.638, 0.276, 0.442)
Co (0.869, 0.737, 0.780)
Pm (0.143, 0.286, 0.774)
Pm (0.857, 0.714, 0.226)
Ge (0.500, 0.000, 0.000)
Co (0.131, 0.263, 0.220)
Ge (0.362, 0.724, 0.558)

Computed properties:
V: 127.90 Å³/cell
D(E_F): 0.810 states/eV per atom

=====

Relative energies, eV/atom: P 0.000; Q 0.085.

=====

P | The following is a DFT calculation (PBE) of a relaxed Pm2CoGe3 crystal.

Cell: 5.908 5.908 8.329 Å, 110.76 110.76 90.04°
Element x y z (fractional)
Ge (0.826, 0.826, 0.652)
Pm (0.750, 0.250, 0.500)
Pm (0.750, 0.750, 0.000)
Ge (0.826, 0.348, 0.174)
Pm (0.250, 0.250, 0.000)
Ge (0.348, 0.826, 0.174)
Co (0.334, 0.334, 0.668)
Ge (0.174, 0.652, 0.826)
Pm (0.250, 0.750, 0.500)
Ge (0.652, 0.174, 0.826)
Co (0.666, 0.666, 0.332)
Ge (0.174, 0.174, 0.348)

Computed properties:
V: 251.53 Å³/cell
D(E_F): 0.568 states/eV per atom

=====

Q | The following is a DFT calculation (PBE) of a relaxed Pm2CoGe3 crystal.

Cell: 4.170 4.238 7.165 Å, 90.00 90.00 90.00°
Element x y z (fractional)
Ge (0.500, 0.000, 0.190)
Ge (0.500, 0.000, 0.838)
Pm (0.000, 0.500, 0.015)
Ge (0.500, 0.500, 0.639)
Pm (0.000, 0.000, 0.501)
Co (0.500, 0.500, 0.316)

Computed properties:
V: 126.61 Å³/cell
D(E_F): 0.617 states/eV per atom

=====

Relative energies, eV/atom: P 0.000; Q 0.035.

=====

P | The following is a DFT calculation (PBE) of a relaxed PmCo2Ge3 crystal.

Cell: 5.274 6.203 6.203 Å, 104.79 90.00 90.00°
Element x y z (fractional)
Ge (0.750, 0.478, 0.107)
Ge (0.250, 0.893, 0.522)
Co (0.000, 0.801, 0.199)
Co (0.500, 0.199, 0.801)
Ge (0.250, 0.522, 0.893)
Co (0.000, 0.199, 0.801)
Ge (0.250, 0.944, 0.944)
Ge (0.750, 0.056, 0.056)
Pm (0.250, 0.338, 0.338)
Pm (0.750, 0.662, 0.662)
Ge (0.750, 0.107, 0.478)
Co (0.500, 0.801, 0.199)

Computed properties:
V: 196.21 Å³/cell
D(E_F): 0.614 states/eV per atom

=====

Q | The following is a DFT calculation (PBE) of a relaxed PmCo2Ge3 crystal.

Cell: 3.982 8.150 9.638 Å, 103.77 90.00 104.14°
Element x y z (fractional)
Ge (0.500, 0.000, 0.500)
Ge (0.773, 0.547, 0.620)
Ge (0.641, 0.281, 0.182)
Co (0.497, 0.994, 0.239)
Pm (0.000, 0.000, 0.000)
Co (0.503, 0.006, 0.761)
Ge (0.356, 0.713, 0.078)
Ge (0.644, 0.287, 0.922)
Ge (0.359, 0.719, 0.818)
Co (0.356, 0.713, 0.567)
Pm (0.849, 0.699, 0.304)
Pm (0.151, 0.301, 0.696)
Ge (0.052, 0.105, 0.352)
Co (0.793, 0.586, 0.920)
Ge (0.948, 0.895, 0.648)
Co (0.207, 0.414, 0.080)
Ge (0.227, 0.453, 0.380)
Co (0.644, 0.287, 0.433)

Computed properties:
V: 294.03 Å³/cell
D(E_F): 0.517 states/eV per atom

=====

Relative energies, eV/atom: P 0.041; Q 0.000.

=====

P | The following is a DFT calculation (PBE) of a relaxed Pm4CoGe2 crystal.

Cell: 4.888 4.888 8.808 Å, 106.11 106.11 90.00°
Element x y z (fractional)
Pm (0.181, 0.181, 0.363)
Ge (0.636, 0.636, 0.272)
Co (0.000, 0.000, 0.000)
Pm (0.000, 0.500, 0.000)
Pm (0.819, 0.819, 0.637)
Ge (0.364, 0.364, 0.728)
Pm (0.500, 0.000, 0.000)

Computed properties:
V: 193.60 Å³/cell
D(E_F): 0.523 states/eV per atom

=====

Q | The following is a DFT calculation (PBE) of a relaxed Pm4CoGe2 crystal.

Cell: 4.472 8.457 7.506 Å, 136.16 107.33 90.00°
Element x y z (fractional)
Ge (0.365, 0.381, 0.729)
Pm (0.322, 0.714, 0.645)
Pm (0.920, 0.201, 0.841)
Pm (0.678, 0.286, 0.355)
Pm (0.080, 0.799, 0.159)
Ge (0.635, 0.619, 0.271)
Co (0.000, 0.000, 0.000)

Computed properties:
V: 177.50 Å³/cell
D(E_F): 0.861 states/eV per atom

=====

Relative energies, eV/atom: P 0.167; Q 0.000.

=====

P | The following is a DFT calculation (PBE) of a relaxed Pm6Co2Ge crystal.

Cell: 8.499 8.499 8.499 Å, 106.97 109.21 112.28°
Element x y z (fractional)
Pm (0.315, 0.989, 0.674)
Pm (0.805, 0.764, 0.569)
Co (0.658, 0.000, 0.658)
Pm (0.195, 0.236, 0.431)
Pm (0.805, 0.236, 0.042)
Pm (0.900, 0.719, 0.181)
Pm (0.685, 0.359, 0.674)
Pm (0.539, 0.719, 0.819)
Pm (0.195, 0.764, 0.958)
Ge (0.000, 0.000, 0.000)
Co (0.342, 0.000, 0.342)
Pm (0.100, 0.281, 0.819)
Co (0.500, 0.611, 0.111)
Pm (0.315, 0.641, 0.326)
Ge (0.000, 0.500, 0.500)
Pm (0.461, 0.281, 0.181)
Pm (0.685, 0.011, 0.326)
Co (0.500, 0.389, 0.889)

Computed properties:
V: 471.49 Å³/cell
D(E_F): 0.829 states/eV per atom

=====

Q | The following is a DFT calculation (PBE) of a relaxed Pm6Co2Ge crystal.

Cell: 5.036 5.658 9.132 Å, 82.09 90.00 116.43°
Element x y z (fractional)
Co (0.396, 0.793, 0.093)
Pm (0.653, 0.305, 0.607)
Pm (0.282, 0.563, 0.851)
Pm (0.033, 0.066, 0.168)
Pm (0.347, 0.695, 0.393)
Pm (0.718, 0.437, 0.149)
Ge (0.000, 0.000, 0.500)
Pm (0.967, 0.934, 0.832)
Co (0.604, 0.207, 0.907)

Computed properties:
V: 230.25 Å³/cell
D(E_F): 1.151 states/eV per atom

=====

Relative energies, eV/atom: P 0.000; Q 0.085.

=====

P | The following is a DFT calculation (PBE) of a relaxed Pr3Co2Ge4 crystal.

Cell: 4.215 6.022 8.270 Å, 106.98 90.00 110.49°
Element x y z (fractional)
Co (0.302, 0.605, 0.630)
Pr (0.615, 0.230, 0.690)
Pr (0.385, 0.770, 0.310)
Ge (0.287, 0.573, 0.917)
Ge (0.888, 0.776, 0.603)
Ge (0.112, 0.224, 0.397)
Ge (0.713, 0.427, 0.083)
Pr (0.000, 0.000, 0.000)
Co (0.698, 0.395, 0.370)

Computed properties:
V: 186.84 Å³/cell
D(E_F): 0.642 states/eV per atom

=====

Q | The following is a DFT calculation (PBE) of a relaxed Pr3Co2Ge4 crystal.

Cell: 4.149 6.002 8.403 Å, 99.47 90.00 110.22°
Element x y z (fractional)
Pr (0.000, 0.000, 0.000)
Ge (0.061, 0.122, 0.377)
Pr (0.661, 0.321, 0.657)
Co (0.603, 0.207, 0.276)
Pr (0.339, 0.679, 0.343)
Ge (0.939, 0.878, 0.623)
Ge (0.723, 0.445, 0.078)
Co (0.397, 0.793, 0.724)
Ge (0.277, 0.555, 0.922)

Computed properties:
V: 193.32 Å³/cell
D(E_F): 0.999 states/eV per atom

=====

Relative energies, eV/atom: P 0.000; Q 0.041.

=====

P | The following is a DFT calculation (PBE) of a relaxed Co3GePt crystal.

Cell: 4.612 4.612 4.612 Å, 90.00 90.00 90.00°
Element x y z (fractional)
Co (0.000, 0.500, 0.000)
Co (0.000, 0.000, 0.500)
Pt (0.000, 0.000, 0.000)
Ge (0.500, 0.500, 0.500)
Co (0.500, 0.000, 0.000)

Computed properties:
V: 98.10 Å³/cell
D(E_F): 1.334 states/eV per atom

=====

Q | The following is a DFT calculation (PBE) of a relaxed Co3GePt crystal.

Cell: 4.265 4.265 4.265 Å, 90.00 90.00 90.00°
Element x y z (fractional)
Co (0.000, 0.000, 0.500)
Co (0.500, 0.000, 0.000)
Pt (0.500, 0.500, 0.500)
Co (0.000, 0.500, 0.000)
Ge (0.000, 0.000, 0.000)

Computed properties:
V: 77.60 Å³/cell
D(E_F): 1.881 states/eV per atom

=====

Relative energies, eV/atom: P 0.312; Q 0.000.

=====

P | The following is a DFT calculation (PBE) of a relaxed Pu2CoGe3 crystal.

Cell: 3.891 4.252 7.177 Å, 90.00 90.00 90.00°
Element x y z (fractional)
Ge (0.500, 0.500, 0.648)
Ge (0.500, 0.000, 0.835)
Pu (0.000, 0.500, 0.020)
Pu (0.000, 0.000, 0.497)
Co (0.500, 0.500, 0.318)
Ge (0.500, 0.000, 0.183)

Computed properties:
V: 118.74 Å³/cell
D(E_F): 3.511 states/eV per atom

=====

Q | The following is a DFT calculation (PBE) of a relaxed Pu2CoGe3 crystal.

Cell: 4.243 5.648 5.677 Å, 75.48 68.06 67.94°
Element x y z (fractional)
Ge (0.179, 0.733, 0.908)
Pu (0.421, 0.844, 0.314)
Pu (0.552, 0.169, 0.727)
Ge (0.792, 0.282, 0.133)
Ge (0.887, 0.576, 0.650)
Co (0.168, 0.396, 0.268)

Computed properties:
V: 116.00 Å³/cell
D(E_F): 2.936 states/eV per atom

=====

Relative energies, eV/atom: P 0.016; Q 0.000.

=====

P | The following is a DFT calculation (PBE) of a relaxed Pu3Co2Ge3 crystal.

Cell: 5.582 7.684 14.029 Å, 90.00 90.00 90.00°
Element x y z (fractional)
Ge (0.897, 0.823, 0.039)
Co (0.627, 0.611, 0.393)
Pu (0.894, 0.531, 0.892)
Co (0.127, 0.889, 0.607)
Co (0.373, 0.389, 0.893)
Ge (0.103, 0.177, 0.961)
Pu (0.624, 0.329, 0.250)
Pu (0.394, 0.969, 0.108)
Pu (0.106, 0.469, 0.108)
Co (0.373, 0.389, 0.607)
Co (0.627, 0.611, 0.107)
Ge (0.103, 0.177, 0.539)
Ge (0.603, 0.323, 0.461)
Co (0.127, 0.889, 0.893)
Pu (0.876, 0.829, 0.250)
Pu (0.124, 0.171, 0.750)
Ge (0.603, 0.323, 0.039)
Pu (0.106, 0.469, 0.392)
Pu (0.394, 0.969, 0.392)
Ge (0.385, 0.678, 0.250)
Ge (0.115, 0.178, 0.250)
Pu (0.606, 0.031, 0.608)
Pu (0.606, 0.031, 0.892)
Ge (0.397, 0.677, 0.961)
Ge (0.615, 0.322, 0.750)
Ge (0.885, 0.822, 0.750)
Ge (0.897, 0.823, 0.461)
Co (0.873, 0.111, 0.107)
Pu (0.894, 0.531, 0.608)
Ge (0.397, 0.677, 0.539)
Co (0.873, 0.111, 0.393)
Pu (0.376, 0.671, 0.750)

Computed properties:
V: 601.68 Å³/cell
D(E_F): 3.358 states/eV per atom

=====

Q | The following is a DFT calculation (PBE) of a relaxed Pu3Co2Ge3 crystal.

Cell: 4.125 5.559 14.284 Å, 90.00 90.00 111.78°
Element x y z (fractional)
Ge (0.648, 0.295, 0.036)
Co (0.215, 0.429, 0.109)
Pu (0.935, 0.871, 0.108)
Ge (0.353, 0.706, 0.250)
Pu (0.065, 0.129, 0.892)
Ge (0.647, 0.294, 0.750)
Pu (0.935, 0.871, 0.392)
Pu (0.647, 0.294, 0.250)
Ge (0.352, 0.705, 0.536)
Co (0.785, 0.571, 0.891)
Pu (0.065, 0.129, 0.608)
Co (0.785, 0.571, 0.609)
Ge (0.352, 0.705, 0.964)
Ge (0.648, 0.295, 0.464)
Pu (0.353, 0.706, 0.750)
Co (0.215, 0.429, 0.391)

Computed properties:
V: 304.20 Å³/cell
D(E_F): 3.455 states/eV per atom

=====

Relative energies, eV/atom: P 0.006; Q 0.000.

=====

P | The following is a DFT calculation (PBE) of a relaxed CoRe3Ge crystal.

Cell: 4.432 4.432 4.432 Å, 90.00 90.00 90.00°
Element x y z (fractional)
Re (0.500, 0.000, 0.000)
Ge (0.500, 0.500, 0.500)
Co (0.000, 0.000, 0.000)
Re (0.000, 0.500, 0.000)
Re (0.000, 0.000, 0.500)

Computed properties:
V: 87.08 Å³/cell
D(E_F): 1.799 states/eV per atom

=====

Q | The following is a DFT calculation (PBE) of a relaxed CoRe3Ge crystal.

Cell: 4.479 4.479 4.479 Å, 90.00 90.00 90.00°
Element x y z (fractional)
Re (0.000, 0.500, 0.000)
Re (0.000, 0.000, 0.500)
Co (0.500, 0.500, 0.500)
Ge (0.000, 0.000, 0.000)
Re (0.500, 0.000, 0.000)

Computed properties:
V: 89.86 Å³/cell
D(E_F): 2.121 states/eV per atom

=====

Relative energies, eV/atom: P 0.000; Q 0.417.

=====

P | The following is a DFT calculation (PBE) of a relaxed CoReGe2 crystal.

Cell: 6.497 6.497 5.420 Å, 53.18 53.18 90.00°
Element x y z (fractional)
Co (0.250, 0.750, 0.500)
Co (0.500, 0.500, 0.000)
Ge (0.594, 0.125, 0.250)
Re (0.000, 0.000, 0.000)
Ge (0.875, 0.844, 0.750)
Ge (0.156, 0.625, 0.250)
Ge (0.375, 0.406, 0.750)
Re (0.750, 0.250, 0.500)

Computed properties:
V: 121.40 Å³/cell
D(E_F): 0.474 states/eV per atom

=====

Q | The following is a DFT calculation (PBE) of a relaxed CoReGe2 crystal.

Cell: 2.900 2.900 8.784 Å, 80.50 80.50 60.00°
Element x y z (fractional)
Ge (0.088, 0.088, 0.735)
Ge (0.912, 0.912, 0.265)
Co (0.000, 0.000, 0.000)
Re (0.500, 0.500, 0.500)

Computed properties:
V: 62.79 Å³/cell
D(E_F): 1.229 states/eV per atom

=====

Relative energies, eV/atom: P 0.224; Q 0.000.